No. 1
{"formula": "Dy2BePt6", "functional": "PBE", "state": "relaxed", "e_tot_ev_per_cell": -58.7, "cell": [[-3.684, -3.386, 3.396], [-1.806, -5.459, -1.873], [1.982, -4.964, 2.660]], "species": ["Pt", "Dy", "Pt", "Pt", "Pt", "Pt", "Pt", "Be", "Dy"], "fractional_positions": [[0.761, 0.761, 0.244], [0.250, 0.250, 0.245], [0.236, 0.759, 0.241], [0.239, 0.239, 0.756], [0.759, 0.236, 0.241], [0.241, 0.764, 0.759], [0.764, 0.241, 0.759], [0.500, 0.500, 0.500], [0.750, 0.750, 0.755]]}

No. 2
{"formula": "Dy2Be2Pt5", "functional": "PBE", "state": "relaxed", "e_tot_ev_per_cell": -55.7, "cell": [[-2.891, 2.090, 1.979], [-2.233, -3.398, 0.326], [3.940, -1.851, 7.710]], "species": ["Pt", "Be", "Pt", "Pt", "Dy", "Pt", "Dy", "Pt", "Be"], "fractional_positions": [[0.000, 0.500, 0.745], [0.500, 0.500, 0.137], [0.500, 0.000, 0.255], [0.000, 0.500, 0.255], [0.000, 0.000, 0.000], [0.500, 0.000, 0.745], [0.000, 0.000, 0.500], [0.500, 0.500, 0.500], [0.500, 0.500, 0.863]]}

No. 3
{"formula": "DyBe2Pt6", "functional": "PBE", "state": "relaxed", "e_tot_ev_per_cell": -105.2, "cell": [[-5.389, 4.537, 2.998], [-6.136, 1.917, -4.157], [-6.872, -2.873, 1.769]], "species": ["Pt", "Pt", "Pt", "Be", "Pt", "Pt", "Pt", "Pt", "Pt", "Dy", "Be", "Pt", "Pt", "Be", "Dy", "Pt", "Be", "Pt"], "fractional_positions": [[0.010, 0.010, 0.490], [0.240, 0.240, 0.760], [0.760, 0.760, 0.240], [0.125, 0.625, 0.125], [0.010, 0.490, 0.010], [0.760, 0.240, 0.760], [0.240, 0.760, 0.240], [0.490, 0.010, 0.010], [0.490, 0.010, 0.490], [0.750, 0.750, 0.750], [0.625, 0.125, 0.125], [0.760, 0.240, 0.240], [0.010, 0.490, 0.490], [0.125, 0.125, 0.625], [0.500, 0.500, 0.500], [0.240, 0.760, 0.760], [0.125, 0.125, 0.125], [0.490, 0.490, 0.010]]}

No. 4
{"formula": "Dy3Be2Pt5", "functional": "PBE", "state": "relaxed", "e_tot_ev_per_cell": -124.4, "cell": [[3.661, 0.000, 0.000], [0.000, 9.723, 0.000], [0.000, 0.000, 9.723]], "species": ["Be", "Dy", "Pt", "Pt", "Dy", "Dy", "Pt", "Be", "Pt", "Pt", "Pt", "Pt", "Dy", "Be", "Pt", "Be", "Dy", "Dy", "Pt", "Pt"], "fractional_positions": [[0.000, 0.615, 0.885], [0.000, 0.177, 0.323], [0.500, 0.223, 0.071], [0.500, 0.777, 0.929], [0.000, 0.323, 0.823], [0.000, 0.823, 0.677], [0.500, 0.277, 0.571], [0.000, 0.885, 0.385], [0.500, 0.500, 0.000], [0.500, 0.723, 0.429], [0.500, 0.071, 0.777], [0.500, 0.000, 0.500], [0.000, 0.677, 0.177], [0.000, 0.385, 0.115], [0.500, 0.929, 0.223], [0.000, 0.115, 0.615], [0.000, 0.000, 0.000], [0.000, 0.500, 0.500], [0.500, 0.429, 0.277], [0.500, 0.571, 0.723]]}

No. 5
{"formula": "Dy2BePt", "functional": "PBE", "state": "relaxed", "e_tot_ev_per_cell": -21.3, "relative_energy_ev_per_atom": 0.0000, "cell": [[-0.750, -3.401, 0.272], [1.813, -0.161, 2.982], [-5.593, 1.511, 3.481]], "species": ["Pt", "Be", "Dy", "Dy"], "fractional_positions": [[0.500, 0.500, 0.500], [0.500, 0.500, 0.000], [0.000, 0.000, 0.753], [0.000, 0.000, 0.247]]}

No. 6
{"formula": "DyBe2Pt5", "functional": "PBE", "state": "relaxed", "e_tot_ev_per_cell": -48.9, "cell": [[3.863, 0.000, 0.000], [1.931, 5.834, 0.549], [1.931, 1.611, 5.634]], "species": ["Be", "Pt", "Pt", "Dy", "Pt", "Be", "Pt", "Pt"], "fractional_positions": [[0.232, 0.268, 0.268], [0.351, 0.858, 0.441], [0.649, 0.142, 0.559], [0.000, 0.000, 0.000], [0.351, 0.441, 0.858], [0.768, 0.732, 0.732], [0.649, 0.559, 0.142], [0.000, 0.500, 0.500]]}